DFT (PBEsol) results for a relaxed FeBiO2 crystal.

Uncorrected energy, eV/atom: -6.63
Total magnetic moment, μB per formula unit: 3.8
Density of states at the Fermi level, states/eV/f.u.: 3.73
Formation energy from raw total energies, eV/f.u.: -2.78

Lattice parameters (Å, degrees): 5.1227 5.9276 5.1227 115.60 90.00 115.60
With the nearest neighbours (Å) after each atom.
Fractional coordinates of all 8 atoms:
Bi  0.2500  0.5000  0.7500  4 O 2.47
Bi  0.0000  0.0000  0.0000  4 O 2.47
O  0.4671  0.2500  0.3750  2 Fe 1.92
O  0.7829  0.2500  0.8750  2 Fe 1.92
O  0.1250  0.7500  0.5329  2 Fe 1.92
O  0.6250  0.7500  0.2171  2 Fe 1.92
Fe  0.7500  0.5000  0.2500  4 O 1.92
Fe  0.5000  0.0000  0.5000  4 O 1.92